A relaxed Sm4Co3Ir crystal. Source: the Alexandria database, functional PBE-GGA.

Cell: 4.097 4.004 10.609 Å, 90.00 90.00 90.00°
Each line ends with the local moment (μB).
Element x y z (fractional)
Ir 0.500 0.500 0.068  -0.04
Co 0.000 0.500 0.552  0.72
Co 0.000 0.000 0.451  0.72
Co 0.500 0.000 0.927  -0.26
Sm 0.500 0.500 0.358  -0.10
Sm 0.000 0.500 0.854  0.00
Sm 0.000 0.000 0.144  -0.02
Sm 0.500 0.000 0.645  -0.09

Properties
As for the volume: 174 Å³/f.u. For the formation enthalpy at 0 K, the calculation gives -0.270 eV per atom. The calculation puts the total magnetization at 0.7 μB/f.u.